--- one ---
! BeRhF | Alexandria | PBE | relaxed; values from VASP
&SYSTEM
  ibrav = 0, nat = 6, ntyp = 3
/
ATOMIC_SPECIES
Be 9.01 Be.upf
Rh 102.91 Rh.upf
F 19.00 F.upf
CELL_PARAMETERS angstrom
-1.4047 0.9759 2.0326
-2.2888 -1.1492 0.7061
5.6282 -7.5962 5.8524
ATOMIC_POSITIONS angstrom
Be -1.5660 -0.5526 2.5603
Be -0.2263 -4.4983 5.4344
Rh 1.9540 -5.5893 5.7287
Rh 4.3513 -6.9426 6.2979
F 1.8005 -3.8578 3.0542
F -0.9548 -2.1106 1.9983
! space group	No. 1

---

--- two ---
! BeRhF | Alexandria | PBE | relaxed; values from VASP
&SYSTEM
  ibrav = 0, nat = 6, ntyp = 3
/
ATOMIC_SPECIES
Be 9.01 Be.upf
Rh 102.91 Rh.upf
F 19.00 F.upf
CELL_PARAMETERS angstrom
2.5830 0.0000 -0.0002
0.0001 4.4219 0.0005
0.0202 -0.0009 7.3894
ATOMIC_POSITIONS angstrom
Be 0.6785 1.2925 0.5053
Be 1.9704 3.5032 4.3062
Rh 0.6826 3.5032 6.3477
Rh 1.9742 1.2923 5.8530
F 0.6790 3.5040 3.3862
F 1.9707 1.2932 1.4250
! space group	No. 6

---

Tell me which of them is the most stable. Sure, it is one.

---

--- one ---
! BeCuPb | Alexandria | PBE | relaxed; values from VASP
&SYSTEM
  ibrav = 0, nat = 3, ntyp = 3
/
ATOMIC_SPECIES
Pb 207.20 Pb.upf
Be 9.01 Be.upf
Cu 63.55 Cu.upf
CELL_PARAMETERS angstrom
4.1882 0.0000 0.0000
2.0941 3.6271 0.0000
2.0941 1.2090 3.4196
ATOMIC_POSITIONS angstrom
Pb 4.1882 2.4180 1.7098
Be 6.2823 3.6271 2.5647
Cu 0.0000 0.0000 0.0000
! space group	No. 216

---

--- two ---
! BeCuPb | Alexandria | PBE | relaxed; values from VASP
&SYSTEM
  ibrav = 0, nat = 3, ntyp = 3
/
ATOMIC_SPECIES
Pb 207.20 Pb.upf
Be 9.01 Be.upf
Cu 63.55 Cu.upf
CELL_PARAMETERS angstrom
3.3722 0.0000 0.0000
-1.6861 2.9204 0.0000
0.0000 0.0000 5.4660
ATOMIC_POSITIONS angstrom
Pb 0.0000 1.9469 3.6878
Be 0.0000 0.0000 0.3234
Cu 1.6861 0.9735 1.4548
! space group	No. 156

---

Tell me which of them is the most stable. Sure, it is one.

---

--- one ---
! Hf3ZrCd | Alexandria | PBE | relaxed; values from VASP
&SYSTEM
  ibrav = 0, nat = 5, ntyp = 3
/
ATOMIC_SPECIES
Hf 178.49 Hf.upf
Zr 91.22 Zr.upf
Cd 112.41 Cd.upf
CELL_PARAMETERS angstrom
-1.9724 1.6650 4.4711
-1.9776 -4.6882 0.8735
4.3419 -1.3790 2.4289
ATOMIC_POSITIONS angstrom
Hf -0.9888 -2.3441 0.4367
Hf 2.1710 -0.6895 1.2144
Hf -0.9862 0.8325 2.2356
Zr 0.1960 -2.2011 3.8867
Cd 0.0000 0.0000 0.0000
! space group	No. 221

---

--- two ---
! Hf3ZrCd | Alexandria | PBE | relaxed; values from VASP
&SYSTEM
  ibrav = 0, nat = 10, ntyp = 3
/
ATOMIC_SPECIES
Hf 178.49 Hf.upf
Zr 91.22 Zr.upf
Cd 112.41 Cd.upf
CELL_PARAMETERS angstrom
3.2019 0.0000 0.0000
0.0000 7.3439 -2.6783
0.0000 0.9917 9.1717
ATOMIC_POSITIONS angstrom
Hf 0.8005 0.6147 1.1965
Hf 2.4014 7.7208 5.2969
Hf 2.4014 4.6006 4.4762
Hf 0.8005 3.7349 2.0172
Hf 0.8005 2.4325 6.2999
Hf 2.4014 5.9031 0.1935
Zr 0.8005 6.7182 2.7206
Zr 2.4014 1.6174 3.7728
Cd 2.4014 2.6896 -0.5090
Cd 0.8005 5.6460 7.0024
! space group	No. 11

---

Tell me which of them is the most stable. Sure, it is two.